Here is an optimized crystal structure of ScTi2FeAg from Alexandria via LeMat-Bulk. Energies are from GGA-PBE.

Geometry as CIF:
```
data_ScTi2FeAg
_cell_length_a 4.810
_cell_length_b 4.810
_cell_length_c 4.706
_cell_angle_alpha 90.00
_cell_angle_beta 90.00
_cell_angle_gamma 90.00
_space_group_name_H-M_alt 'P 4/m m m'
_space_group_IT_number 123
_space_group_name_Hall '-P 4 2'
loop_
_atom_site_label
_atom_site_type_symbol
_atom_site_fract_x
_atom_site_fract_y
_atom_site_fract_z
_atom_site_occupancy
Sc1 Sc 0.000 0.000 0.000 1
Ti1 Ti 0.000 0.500 0.500 1
Fe1 Fe 0.500 0.500 0.000 1
Ag1 Ag 0.500 0.500 0.500 1
```

## Properties
Energy relative to the elements = 1.216 eV per atom
Total magnetization = 2.243 μB/cell
E = -5.47 eV per atom
Theoretical density = 4.64 g/cm³